1.
A plane-wave DFT calculation with GGA-PBE was carried out for a relaxed Mo2IrW crystal.

Lattice parameters (Å, degrees): 2.7265 2.7265 8.4616 90.00 90.00 90.00
Closest atoms and distances in Å follow each position.
Element x y z (fractional)
Mo (0.0000, 0.0000, 0.5170)  4 Mo 2.73, 4 Ir 2.76, 4 W 2.97
Mo (0.0000, 0.0000, 0.9830)  4 Mo 2.73, 4 Ir 2.76, 4 W 2.97
Ir (0.5000, 0.5000, 0.7500)  4 Ir 2.73, 8 Mo 2.76
W (0.5000, 0.5000, 0.2500)  4 W 2.73, 8 Mo 2.97

total magnetization	0.0	μB per formula unit
SG	P4/mmm (123)
energy above the most stable polymorph in this dataset	18	meV/atom
N(E_F)	2.42	states/eV per cell
final energy	-10.858	eV per atom

=====

2.
A plane-wave DFT calculation with GGA-PBE was carried out for a relaxed MoIr2W crystal.

Lattice parameters (Å, degrees): 4.8112 5.5494 5.5493 59.88 73.15 73.15
Closest atoms and distances in Å follow each position.
Element x y z (fractional)
Ir (0.2500, 0.6251, 0.1249)  4 Ir 2.77, 4 W 2.77-2.78, 4 Mo 2.77-2.78
Ir (0.7500, 0.3749, 0.8751)  4 Ir 2.77, 4 W 2.77-2.78, 4 Mo 2.77-2.78
Ir (0.2500, 0.1249, 0.6251)  4 Ir 2.77, 4 W 2.77-2.78, 4 Mo 2.77-2.78
Ir (0.7500, 0.8751, 0.3749)  4 Ir 2.77, 4 W 2.77-2.78, 4 Mo 2.77-2.78
Mo (0.7489, 0.8758, 0.8758)  1 Mo 2.76, 8 Ir 2.77-2.78, 3 W 2.77
Mo (0.2511, 0.1242, 0.1242)  1 Mo 2.76, 8 Ir 2.77-2.78, 3 W 2.77
W (0.2489, 0.6258, 0.6258)  8 Ir 2.77-2.78, 3 Mo 2.77, 1 W 2.79
W (0.7511, 0.3742, 0.3742)  8 Ir 2.77-2.78, 3 Mo 2.77, 1 W 2.79

total magnetization	0.0	μB per formula unit
SG	C2/m (12)
energy above the most stable polymorph in this dataset	10	meV/atom
N(E_F)	3.29	states/eV per cell
final energy	-10.680	eV per atom

=====

3.
A plane-wave DFT calculation with GGA-PBE was carried out for a relaxed MoIr2W crystal.

Lattice parameters (Å, degrees): 3.3072 3.3072 5.6995 90.00 90.00 90.00
Closest atoms and distances in Å follow each position.
Element x y z (fractional)
Ir (0.0000, 0.0000, 0.9881)  4 W 2.65, 4 Ir 2.81, 2 Mo 2.81-2.89
Ir (0.5000, 0.5000, 0.2618)  4 Mo 2.65, 2 W 2.81-2.89, 4 Ir 2.81
Mo (0.0000, 0.0000, 0.4816)  6 Ir 2.65-2.89, 4 W 2.85
W (0.5000, 0.5000, 0.7686)  6 Ir 2.65-2.89, 4 Mo 2.85

total magnetization	0.0	μB per formula unit
SG	P4mm (99)
energy above the most stable polymorph in this dataset	359	meV/atom
N(E_F)	3.20	states/eV per cell
final energy	-10.331	eV per atom

=====

4.
A plane-wave DFT calculation with GGA-PBE was carried out for a relaxed Mo2IrW crystal.

Lattice parameters (Å, degrees): 3.9827 3.9562 3.9562 90.00 90.00 90.00
Closest atoms and distances in Å follow each position.
Element x y z (fractional)
Mo (0.0000, 0.0000, 0.5000)  4 Mo 2.80, 4 Ir 2.81, 4 W 2.81
Mo (0.0000, 0.5000, 0.0000)  4 Mo 2.80, 4 Ir 2.81, 4 W 2.81
Ir (0.5000, 0.0000, 0.0000)  4 W 2.80, 8 Mo 2.81
W (0.5000, 0.5000, 0.5000)  4 Ir 2.80, 8 Mo 2.81

total magnetization	0.0	μB per formula unit
SG	P4/mmm (123)
energy above the most stable polymorph in this dataset	0	meV/atom
N(E_F)	3.43	states/eV per cell
final energy	-10.876	eV per atom

=====

5.
A plane-wave DFT calculation with GGA-PBE was carried out for a relaxed Mo2Ir9W crystal.

Lattice parameters (Å, degrees): 6.1813 4.7819 6.7498 89.96 68.17 75.05
Closest atoms and distances in Å follow each position.
Element x y z (fractional)
Ir (0.2528, 0.7500, 0.2521)  2 Mo 2.72-2.73, 9 Ir 2.73-2.81, 1 W 2.79
Ir (0.7531, 0.5855, 0.0840)  9 Ir 2.72-2.80, 2 W 2.74-2.76, 1 Mo 2.75
Ir (0.5000, 0.5000, 0.5000)  8 Ir 2.71-2.75, 4 Mo 2.78-2.80
Ir (0.4997, 0.1675, 0.1703)  2 Mo 2.73-2.80, 9 Ir 2.74-2.80, 1 W 2.76
Ir (0.9923, 0.3323, 0.3332)  3 Mo 2.71-2.75, 8 Ir 2.71-2.81, 1 W 2.73
Ir (0.2469, 0.4145, 0.9160)  9 Ir 2.72-2.80, 2 W 2.74-2.76, 1 Mo 2.75
Ir (0.0077, 0.6677, 0.6668)  3 Mo 2.71-2.75, 8 Ir 2.71-2.81, 1 W 2.73
Ir (0.5003, 0.8325, 0.8297)  2 Mo 2.73-2.80, 9 Ir 2.74-2.80, 1 W 2.76
Ir (0.7472, 0.2500, 0.7479)  2 Mo 2.72-2.73, 9 Ir 2.73-2.81, 1 W 2.79
W (0.0000, 0.0000, 0.0000)  10 Ir 2.73-2.79, 2 Mo 2.74
Mo (0.7596, 0.9108, 0.4172)  10 Ir 2.71-2.80, 1 W 2.74, 1 Mo 2.86
Mo (0.2404, 0.0892, 0.5828)  10 Ir 2.71-2.80, 1 W 2.74, 1 Mo 2.86

total magnetization	0.0	μB per formula unit
SG	P-1 (2)
N(E_F)	12.28	states/eV per cell
final energy	-9.699	eV per atom

=====

6.
A plane-wave DFT calculation with GGA-PBE was carried out for a relaxed MoIr2W crystal.

Lattice parameters (Å, degrees): 4.4674 2.7898 4.8484 90.00 90.00 90.00
Closest atoms and distances in Å follow each position.
Element x y z (fractional)
Mo (0.0000, 0.6251, 0.4517)  8 Ir 2.73-2.81, 2 Mo 2.79, 2 W 2.79
W (0.5000, 0.6249, 0.7969)  8 Ir 2.73-2.82, 2 W 2.79, 2 Mo 2.79
Ir (0.5000, 0.1251, 0.3035)  4 Mo 2.73, 4 W 2.77-2.82, 4 Ir 2.79-2.82
Ir (0.0000, 0.1249, 0.9479)  4 W 2.73, 4 Mo 2.78-2.81, 4 Ir 2.79-2.82

total magnetization	0.0	μB per formula unit
SG	Pmm2 (25)
energy above the most stable polymorph in this dataset	0	meV/atom
N(E_F)	2.37	states/eV per cell
final energy	-10.690	eV per atom

=====

7.
A plane-wave DFT calculation with GGA-PBE was carried out for a relaxed Mo2IrW crystal.

Lattice parameters (Å, degrees): 4.3157 2.7265 5.4946 75.71 90.00 90.00
Closest atoms and distances in Å follow each position.
Element x y z (fractional)
Mo (0.0000, 0.4423, 0.4988)  2 W 2.67, 4 Mo 2.70-2.83, 4 Ir 2.80-2.97
Mo (0.0000, 0.0577, 0.0012)  2 W 2.67, 4 Mo 2.70-2.83, 4 Ir 2.80-2.97
W (0.5000, 0.2500, 0.2500)  4 Mo 2.67, 2 W 2.73, 2 Ir 2.75
Ir (0.5000, 0.7500, 0.7500)  2 Ir 2.73, 2 W 2.75, 8 Mo 2.80-2.97

total magnetization	0.0	μB per formula unit
SG	P2/m (10)
energy above the most stable polymorph in this dataset	61	meV/atom
N(E_F)	3.97	states/eV per cell
final energy	-10.814	eV per atom

=====

8.
A plane-wave DFT calculation with GGA-PBE was carried out for a relaxed MoIr2W crystal.

Lattice parameters (Å, degrees): 4.8510 4.8510 4.7962 80.43 80.43 33.14
Closest atoms and distances in Å follow each position.
Element x y z (fractional)
W (0.2500, 0.2500, 0.2500)  2 W 2.77, 4 Mo 2.77, 6 Ir 2.79-2.80
Mo (0.7500, 0.7500, 0.7500)  2 Mo 2.77, 4 W 2.77, 6 Ir 2.79-2.80
Ir (0.9993, 0.9993, 0.0003)  6 Ir 2.77, 3 W 2.79-2.80, 3 Mo 2.79-2.80
Ir (0.5007, 0.5007, 0.4997)  6 Ir 2.77, 3 W 2.79-2.80, 3 Mo 2.79-2.80

total magnetization	0.0	μB per formula unit
SG	C2/m (12)
energy above the most stable polymorph in this dataset	217	meV/atom
N(E_F)	3.42	states/eV per cell
final energy	-10.473	eV per atom

=====

- The lowest N(E_F) belongs to which entry?
  number 6

=====

- What is the total magnetization in the fifth record?
  0.0 μB per formula unit

=====

- Which of these has the lowest final energy?
  number 4

=====

- The lowest N(E_F) belongs to which entry?
  number 6